Below is crystalline NiAs at its relaxed geometry, with properties calculated at the PBE level.

## Properties
Formation energy in meV/atom: 51
ρ in Mg/m³: 8.0
Magnetization in μB per atom: 0.00
DFT total energy in eV per atom: -5.16

a = 3.6188 Å, b = 3.6188 Å, c = 8.4811 Å
α = 90.00°, β = 90.00°, γ = 90.00°
With the nearest neighbours (Å) after each atom.
Space group I4_1/amd (No. 141, origin choice 2)
Asymmetric unit:
Ni: 0.0000 0.2500 0.3750 [4 per cell]  8 As 2.56-2.79, 4 Ni 2.79
As: 0.0000 0.2500 0.8750 [4 per cell]  8 Ni 2.56-2.79, 4 As 2.79



Below is crystalline CdGa2CoPb at its relaxed geometry, with properties calculated at the PBE level.

## Properties
Formation energy in meV/atom: 56
ρ in Mg/m³: 7.7
Magnetization in μB per atom: 0.02
DFT total energy in eV per atom: -3.50

a = 4.6348 Å, b = 4.6348 Å, c = 5.1825 Å
α = 90.00°, β = 90.00°, γ = 90.00°
With the nearest neighbours (Å) after each atom.
Space group P4/mmm (No. 123)
Asymmetric unit:
Cd: 0.0000 0.0000 0.0000 [1 per cell]  4 Pb 3.28, 8 Ga 3.48
Ga: 0.0000 0.5000 0.5000 [2 per cell]  2 Co 2.32
Co: 0.5000 0.5000 0.5000 [1 per cell]  4 Ga 2.32, 2 Pb 2.59
Pb: 0.5000 0.5000 0.0000 [1 per cell]  2 Co 2.59



Below is crystalline LaPAu at its relaxed geometry, with properties calculated at the PBE level.

## Properties
Formation energy in meV/atom: -945
ρ in Mg/m³: 8.3
Magnetization in μB per atom: 0.00
DFT total energy in eV per atom: -5.48

a = 5.8435 Å, b = 5.8435 Å, c = 8.6322 Å
α = 90.00°, β = 90.06°, γ = 90.00°
With the nearest neighbours (Å) after each atom.
Space group C2/m (No. 12)
Asymmetric unit:
La: 0.2504 0.0000 0.1881 [4 per cell]  5 P 2.93-2.94, 1 Au 3.23
P: 0.2496 0.0000 0.8488 [4 per cell]  1 Au 2.47
Au: 0.2498 0.0000 0.5628 [4 per cell]  1 P 2.47



Below is crystalline ZrRe2Si at its relaxed geometry, with properties calculated at the PBE level.

## Properties
Raw formation energy in meV/atom: 10
ρ in Mg/m³: 12.8
Magnetization in μB per atom: 0.00
DFT total energy in eV per atom: -9.71

a = 3.8863 Å, b = 3.8863 Å, c = 8.4515 Å
α = 90.00°, β = 90.00°, γ = 90.00°
With the nearest neighbours (Å) after each atom.
Space group I-4m2 (No. 119)
Asymmetric unit:
Zr: 0.0000 0.0000 0.0000 [2 per cell]  8 Re 2.75-2.87, 4 Si 2.87
Re: 0.0000 0.0000 0.5000 [2 per cell]  4 Zr 2.75, 4 Re 2.87, 4 Si 2.87
Re: 0.0000 0.5000 0.7500 [2 per cell]  4 Si 2.75, 4 Zr 2.87, 4 Re 2.87
Si: 0.0000 0.5000 0.2500 [2 per cell]  8 Re 2.75-2.87, 4 Zr 2.87



Below is crystalline AcYBiPb at its relaxed geometry, with properties calculated at the PBE level.

## Properties
Formation energy in meV/atom: -513
ρ in Mg/m³: 9.2
Magnetization in μB per atom: 0.00
DFT total energy in eV per atom: -5.05

a = 8.0784 Å, b = 8.0784 Å, c = 8.0784 Å
α = 90.00°, β = 90.00°, γ = 90.00°
With the nearest neighbours (Å) after each atom.
Space group F-43m (No. 216)
Asymmetric unit:
Ac: 0.0000 0.0000 0.0000 [4 per cell]  4 Bi 3.50, 4 Pb 3.50
Y: 0.0000 0.0000 0.5000 [4 per cell]  4 Pb 3.50, 4 Bi 3.50
Bi: 0.2500 0.2500 0.2500 [4 per cell]  4 Y 3.50, 4 Ac 3.50
Pb: 0.2500 0.2500 0.7500 [4 per cell]  4 Ac 3.50, 4 Y 3.50



Below is crystalline Th3TePd12 at its relaxed geometry, with properties calculated at the PBE level.

## Properties
Raw formation energy in meV/atom: -767
ρ in Mg/m³: 11.8
Magnetization in μB per atom: 0.00
DFT total energy in eV per atom: -6.25

a = 4.2058 Å, b = 4.2058 Å, c = 16.6804 Å
α = 90.00°, β = 90.00°, γ = 90.00°
With the nearest neighbours (Å) after each atom.
Space group P4/mmm (No. 123)
Asymmetric unit:
Th: 0.0000 0.0000 0.0000 [1 per cell]  12 Pd 2.96-2.97
Th: 0.0000 0.0000 0.2569 [2 per cell]  12 Pd 2.87-3.04
Te: 0.0000 0.0000 0.5000 [1 per cell]  12 Pd 2.97
Pd: 0.0000 0.5000 0.1253 [4 per cell]  8 Pd 2.95-2.97, 4 Th 2.96-3.04
Pd: 0.0000 0.5000 0.3742 [4 per cell]  2 Th 2.87, 8 Pd 2.96-2.97, 2 Te 2.97
Pd: 0.5000 0.5000 0.0000 [1 per cell]  8 Pd 2.96, 4 Th 2.97
Pd: 0.5000 0.5000 0.2491 [2 per cell]  8 Pd 2.95-2.96, 4 Th 2.98
Pd: 0.5000 0.5000 0.5000 [1 per cell]  8 Pd 2.97, 4 Te 2.97